The following is a PBE-GGA calculation of RbBI2N after structural relaxation, from the Alexandria database.

```
data_RbBI2N
_chemical_formula_sum 'Rb1 B1 I2 N1'
_cell_length_a 6.9428
_cell_length_b 6.9428
_cell_length_c 2.8951
_cell_angle_alpha 90.00
_cell_angle_beta 90.00
_cell_angle_gamma 90.00
_symmetry_space_group_name_H-M 'P 1'
_symmetry_Int_Tables_number 1
loop_
_symmetry_equiv_pos_as_xyz
'x,y,z'
loop_
_atom_site_label
_atom_site_type_symbol
_atom_site_fract_x
_atom_site_fract_y
_atom_site_fract_z
Rb1 Rb 0.0000 0.0000 0.0000
B1 B 0.5000 0.5000 0.5000
I1 I 0.0000 0.5000 0.5000
I2 I 0.5000 0.0000 0.5000
N1 N 0.5000 0.5000 0.0000
```

Values from the calculation:
polymorph energy (0 for the lowest one)	0.000	eV/atom
symmetry	No. 123
E_tot	-4.04	eV per atom
ΔE_f (raw)	-0.2209	eV/atom